{"formula": "AlAg2H", "functional": "PBE", "state": "optimized geometry", "lattice": [[0.0000, 3.0945, 3.0945], [3.0945, 0.0000, 3.0945], [3.0945, 3.0945, 0.0000]], "species": ["H", "Al", "Ag", "Ag"], "fractional_positions": [[0.0000, 0.0000, 0.0000], [0.5000, 0.5000, 0.5000], [0.2500, 0.2500, 0.2500], [0.7500, 0.7500, 0.7500]], "de_polymorph_mev_per_atom": 219, "n_ef_per_ev_cell": 1.18}